(a)
VASP calculation (PBE) on a relaxed structure of SrTaCl3.

Computed properties:
- Crystal system: cubic
- Symmetry: Pm-3m
- Total moment: 1.38 μB per formula unit

abc: 4.971 4.971 4.971
angles: 90.00 90.00 90.00
Fractional coordinates of all 5 atoms:
1 Sr 0.000 0.000 0.000
2 Ta 0.500 0.500 0.500
3 Cl 0.000 0.500 0.500
4 Cl 0.500 0.000 0.500
5 Cl 0.500 0.500 0.000

***

(b)
VASP calculation (PBE) on a relaxed structure of SrTaCl3.

Computed properties:
- Crystal system: cubic
- Symmetry: Pm-3m
- Total moment: 4.00 μB per formula unit

abc: 5.604 5.604 5.604
angles: 90.00 90.00 90.00
Fractional coordinates of all 5 atoms:
1 Sr 0.000 0.000 0.000
2 Ta 0.500 0.500 0.500
3 Cl 0.000 0.000 0.500
4 Cl 0.000 0.500 0.000
5 Cl 0.500 0.000 0.000

***

The structure shown above that is most stable: (a).